1.
This record from Alexandria via LeMat-Bulk describes Tl12Sb5As3 after structural relaxation. The functional is PBE-GGA.

Output
Energy relative to the elements, uncorrected in eV/atom: 0.192
Electronic total energy in Ry per atom: -0.2173
D(E_F) in states/eV/f.u.: 11.50
Magnetic moment in μB per formula unit: 0.00

a b c (Å): 17.792 17.792 17.792
angles (deg): 90.00 90.00 90.00
Space group Ia-3d (No. 230)
Asymmetric unit:
Tl (0.016, 0.081, 0.653) (multiplicity 96)
Sb (0.000, 0.000, 0.000) (multiplicity 16)
Sb (0.000, 0.250, 0.375) (multiplicity 24)
As (0.000, 0.250, 0.125) (multiplicity 24)


2.
This record from Alexandria via LeMat-Bulk describes CsRb2AgAu after structural relaxation. The functional is PBE-GGA.

Output
Energy relative to the lowest polymorph listed for this composition in eV/atom: 0.0000
Electronic total energy in Ry per atom: -0.1305
D(E_F) in states/eV/f.u.: 2.59
Magnetic moment in μB per formula unit: 0.00

a b c (Å): 6.798 6.798 5.501
angles (deg): 90.00 90.00 90.00
Space group P4/mmm (No. 123)
Asymmetric unit:
Cs (0.000, 0.000, 0.000) (multiplicity 1)
Rb (0.000, 0.500, 0.500) (multiplicity 2)
Ag (0.500, 0.500, 0.000) (multiplicity 1)
Au (0.500, 0.500, 0.500) (multiplicity 1)


3.
This record from Alexandria via LeMat-Bulk describes IrOsCl2 after structural relaxation. The functional is PBE-GGA.

Output
Energy relative to the lowest polymorph listed for this composition in eV/atom: 0.6198
Energy relative to the elements, uncorrected in eV/atom: 0.749
Electronic total energy in Ry per atom: -0.3820
D(E_F) in states/eV/f.u.: 4.42
Magnetic moment in μB per formula unit: 1.13

a b c (Å): 2.7717 2.7717 37.0310
angles (deg): 90.00 90.00 120.00
Space group R-3m (No. 166, hexagonal axes)
Asymmetric unit:
Ir (0.0000, 0.0000, 0.0000) (multiplicity 3)
Os (0.0000, 0.0000, 0.5000) (multiplicity 3)
Cl (0.0000, 0.0000, 0.4398) (multiplicity 6)


4.
This record from Alexandria via LeMat-Bulk describes Ho2TePb after structural relaxation. The functional is PBE-GGA.

Output
Energy relative to the lowest polymorph listed for this composition in eV/atom: 0.1138
Energy relative to the elements, uncorrected in eV/atom: -0.816
Electronic total energy in Ry per atom: -0.3541
D(E_F) in states/eV/f.u.: 2.11
Magnetic moment in μB per formula unit: 0.00

a b c (Å): 4.3601 4.3601 22.4511
angles (deg): 90.00 90.00 120.00
Space group R3m (No. 160, hexagonal axes)
Asymmetric unit:
Ho (0.0000, 0.0000, 0.0000) (multiplicity 3)
Ho (0.0000, 0.0000, 0.1782) (multiplicity 3)
Te (0.0000, 0.0000, 0.4201) (multiplicity 3)
Pb (0.0000, 0.0000, 0.5903) (multiplicity 3)


5.
This record from Alexandria via LeMat-Bulk describes ZrOsBr2 after structural relaxation. The functional is PBE-GGA.

Output
Energy relative to the lowest polymorph listed for this composition in eV/atom: 0.2833
Energy relative to the elements, uncorrected in eV/atom: 0.033
Electronic total energy in Ry per atom: -0.4225
D(E_F) in states/eV/f.u.: 1.09
Magnetic moment in μB per formula unit: 0.00

a b c (Å): 3.466 4.349 13.141
angles (deg): 90.00 90.00 90.00
Space group Imm2 (No. 44)
Asymmetric unit:
Zr (0.000, 0.000, 0.000) (multiplicity 2)
Os (0.000, 0.500, 0.363) (multiplicity 2)
Br (0.000, 0.000, 0.613) (multiplicity 2)
Br (0.000, 0.500, 0.856) (multiplicity 2)


6.
This record from Alexandria via LeMat-Bulk describes SrFe2Hg after structural relaxation. The functional is PBE-GGA.

Output
Electronic total energy in Ry per atom: -0.3140
D(E_F) in states/eV/f.u.: 2.62
Magnetic moment in μB per formula unit: 5.10

a b c (Å): 3.271 5.148 9.890
angles (deg): 90.00 90.00 90.00
Space group Imm2 (No. 44)
Asymmetric unit:
Sr (0.000, 0.000, 0.000) (multiplicity 2)
Fe (0.000, 0.000, 0.461) (multiplicity 2)
Fe (0.000, 0.500, 0.792) (multiplicity 2)
Hg (0.000, 0.500, 0.207) (multiplicity 2)


7.
This record from Alexandria via LeMat-Bulk describes LaSmTm2Hg4 after structural relaxation. The functional is PBE-GGA.

Output
Electronic total energy in Ry per atom: -0.2160
D(E_F) in states/eV/f.u.: 8.05
Magnetic moment in μB per formula unit: 0.54

a b c (Å): 5.3308 5.3308 26.1986
angles (deg): 90.00 90.00 120.00
Space group R-3m (No. 166, hexagonal axes)
Asymmetric unit:
La (0.0000, 0.0000, 0.0000) (multiplicity 3)
Sm (0.0000, 0.0000, 0.5000) (multiplicity 3)
Tm (0.0000, 0.0000, 0.2492) (multiplicity 6)
Hg (0.0000, 0.0000, 0.1268) (multiplicity 6)
Hg (0.0000, 0.0000, 0.3772) (multiplicity 6)


8.
This record from Alexandria via LeMat-Bulk describes KNa3Hg3 after structural relaxation. The functional is PBE-GGA.

Output
Energy relative to the lowest polymorph listed for this composition in eV/atom: 0.0000
Electronic total energy in Ry per atom: -0.0778
D(E_F) in states/eV/f.u.: 3.16
Magnetic moment in μB per formula unit: 0.00

a b c (Å): 9.723 5.373 9.771
angles (deg): 90.00 119.83 90.00
Space group P2_1/m (No. 11)
Asymmetric unit:
K (0.167, 0.250, 0.333) (multiplicity 2)
Na (0.253, 0.250, 0.986) (multiplicity 2)
Na (0.265, 0.750, 0.752) (multiplicity 2)
Na (0.487, 0.750, 0.236) (multiplicity 2)
Hg (0.043, 0.250, 0.608) (multiplicity 2)
Hg (0.108, 0.750, 0.064) (multiplicity 2)
Hg (0.434, 0.750, 0.542) (multiplicity 2)


9.
This record from Alexandria via LeMat-Bulk describes CoMo3H after structural relaxation. The functional is PBE-GGA.

Output
Energy relative to the lowest polymorph listed for this composition in eV/atom: 1.7929
Electronic total energy in Ry per atom: -0.4881
D(E_F) in states/eV/f.u.: 5.35
Magnetic moment in μB per formula unit: 0.00

a b c (Å): 4.452 4.452 4.452
angles (deg): 90.00 90.00 90.00
Space group Pm-3m (No. 221)
Asymmetric unit:
Co (0.000, 0.000, 0.000) (multiplicity 1)
Mo (0.000, 0.000, 0.500) (multiplicity 3)
H (0.500, 0.500, 0.500) (multiplicity 1)


10.
This record from Alexandria via LeMat-Bulk describes CaCrCl after structural relaxation. The functional is PBE-GGA.

Output
Energy relative to the lowest polymorph listed for this composition in eV/atom: 0.3069
Energy relative to the elements, uncorrected in eV/atom: 0.001
Electronic total energy in Ry per atom: -0.3300
D(E_F) in states/eV/f.u.: 0.16
Magnetic moment in μB per formula unit: 5.00

a b c (Å): 6.821 6.821 6.821
angles (deg): 90.00 90.00 90.00
Space group F-43m (No. 216)
Asymmetric unit:
Ca (0.000, 0.000, 0.000) (multiplicity 4)
Cr (0.000, 0.000, 0.500) (multiplicity 4)
Cl (0.250, 0.250, 0.250) (multiplicity 4)


11.
This record from Alexandria via LeMat-Bulk describes Er2Mg5Cd after structural relaxation. The functional is PBE-GGA.

Output
Electronic total energy in Ry per atom: -0.1440
D(E_F) in states/eV/f.u.: 6.96
Magnetic moment in μB per formula unit: 0.00

a b c (Å): 6.731 6.731 5.016
angles (deg): 90.00 90.00 90.00
Space group P4/mmm (No. 123)
Asymmetric unit:
Er (0.000, 0.500, 0.000) (multiplicity 2)
Mg (0.000, 0.000, 0.000) (multiplicity 1)
Mg (0.285, 0.285, 0.500) (multiplicity 4)
Cd (0.000, 0.000, 0.500) (multiplicity 1)


12.
This record from Alexandria via LeMat-Bulk describes Y2Zn2Rh after structural relaxation. The functional is PBE-GGA.

Output
Energy relative to the lowest polymorph listed for this composition in eV/atom: 0.0000
Electronic total energy in Ry per atom: -0.3741
D(E_F) in states/eV/f.u.: 4.02
Magnetic moment in μB per formula unit: 0.00

a b c (Å): 10.391 6.024 7.068
angles (deg): 90.00 109.57 90.00
Space group C2/c (No. 15)
Asymmetric unit:
Y (0.160, 0.092, 0.142) (multiplicity 8)
Zn (0.098, 0.386, 0.462) (multiplicity 8)
Rh (0.000, 0.254, 0.750) (multiplicity 4)


Number 1: calculated volume 35.201 Å³ per atom. Number 2: calculated volume 50.844 Å³ per atom. Number 3: calculated volume 20.530 Å³ per atom. Number 4: calculated volume 30.802 Å³ per atom. Number 5: calculated volume 24.761 Å³ per atom. Number 6: calculated volume 20.819 Å³ per atom. Number 7: calculated volume 26.864 Å³ per atom. Number 8: calculated volume 31.631 Å³ per atom. Number 9: calculated volume 17.654 Å³ per atom. Number 10: calculated volume 26.449 Å³ per atom. Number 11: calculated volume 28.410 Å³ per atom. Number 12: calculated volume 20.844 Å³ per atom.